Be6CuAu5 | PBE-GGA | relaxed

```
12
Lattice="2.057 -6.189 0.000 2.057 6.189 0.000 0.000 0.000 5.925" Properties=species:S:1:pos:R:3 pbc="T T T"
Be 0.000 0.000 1.444
Be 0.000 0.000 4.480
Be 2.057 1.986 1.418
Be 2.057 1.986 4.507
Be 2.057 -1.986 1.418
Be 2.057 -1.986 4.507
Cu 2.057 0.000 0.000
Au 2.057 4.203 0.000
Au 2.057 4.089 2.962
Au 2.057 0.000 2.962
Au 2.057 -4.089 2.962
Au 2.057 -4.203 0.000
```

For the energy of formation, the calculation gives -0.11 eV/atom. The value obtained for the size of the total moment is 0.00 μB/atom. Its density of states at the Fermi level is 2.99 states/eV per cell.